No. 1
Entry from Alexandria: a relaxed CrRh5 crystal (GGA-PBE).

Output
Formation energy in meV/atom: 372

```
data_CrRh5
_chemical_formula_sum 'Cr4 Rh20'
_cell_length_a 7.177
_cell_length_b 7.177
_cell_length_c 7.177
_cell_angle_alpha 90.00
_cell_angle_beta 90.00
_cell_angle_gamma 90.00
_space_group_name_H-M_alt 'F -4 3 m'
_space_group_IT_number 216
_space_group_name_Hall 'F -4 2 3'
loop_
_atom_site_label
_atom_site_fract_x
_atom_site_fract_y
_atom_site_fract_z
Cr1 0.000 0.000 0.000
Rh1 0.125 0.125 0.625
Rh2 0.250 0.250 0.250
```

No. 2
Entry from Alexandria: a relaxed SiNiRh2 crystal (GGA-PBE).

Output
Formation energy (no corrections) in eV/atom: -0.408

```
data_SiNiRh2
_chemical_formula_sum 'Si1 Ni1 Rh2'
_cell_length_a 2.863
_cell_length_b 2.863
_cell_length_c 6.324
_cell_angle_alpha 90.00
_cell_angle_beta 90.00
_cell_angle_gamma 90.00
_space_group_name_H-M_alt 'P 4/m m m'
_space_group_IT_number 123
_space_group_name_Hall '-P 4 2'
loop_
_atom_site_label
_atom_site_fract_x
_atom_site_fract_y
_atom_site_fract_z
Si1 0.000 0.000 0.000
Ni1 0.000 0.000 0.500
Rh1 0.500 0.500 0.225
```

No. 3
Entry from Alexandria: a relaxed ZrCd2Au crystal (GGA-PBE).

Output
Formation energy in meV/atom: -141

```
data_ZrCd2Au
_chemical_formula_sum 'Zr2 Cd4 Au2'
_cell_length_a 3.123
_cell_length_b 5.108
_cell_length_c 10.470
_cell_angle_alpha 90.00
_cell_angle_beta 90.00
_cell_angle_gamma 90.00
_space_group_name_H-M_alt 'I m m m'
_space_group_IT_number 71
_space_group_name_Hall '-I 2 2'
loop_
_atom_site_label
_atom_site_fract_x
_atom_site_fract_y
_atom_site_fract_z
Zr1 0.000 0.000 0.000
Cd1 0.000 0.500 0.236
Au1 0.000 0.000 0.500
```

No. 4
Entry from Alexandria: a relaxed LiLaMgTl crystal (GGA-PBE).

Output
Formation energy in meV/atom: -249

```
data_LiLaMgTl
_chemical_formula_sum 'Li4 La4 Mg4 Tl4'
_cell_length_a 7.438
_cell_length_b 7.438
_cell_length_c 7.438
_cell_angle_alpha 90.00
_cell_angle_beta 90.00
_cell_angle_gamma 90.00
_space_group_name_H-M_alt 'F -4 3 m'
_space_group_IT_number 216
_space_group_name_Hall 'F -4 2 3'
loop_
_atom_site_label
_atom_site_fract_x
_atom_site_fract_y
_atom_site_fract_z
Li1 0.000 0.000 0.000
La1 0.250 0.250 0.250
Mg1 0.250 0.250 0.750
Tl1 0.000 0.000 0.500
```

No. 5
Entry from Alexandria: a relaxed As2Cl13 crystal (GGA-PBE).

Output
Formation energy (no corrections) in eV/atom: -0.257

```
data_As2Cl13
_chemical_formula_sum 'As2 Cl13'
_cell_length_a 7.615
_cell_length_b 7.644
_cell_length_c 9.907
_cell_angle_alpha 75.12
_cell_angle_beta 78.22
_cell_angle_gamma 77.22
_space_group_name_H-M_alt 'P -1'
_space_group_IT_number 2
loop_
_space_group_symop_operation_xyz
'x,y,z'
'-x,-y,-z'
loop_
_atom_site_label
_atom_site_fract_x
_atom_site_fract_y
_atom_site_fract_z
As1 0.151 0.150 0.224
Cl1 0.000 0.000 0.500
Cl2 0.066 0.414 0.296
Cl3 0.132 0.832 0.814
Cl4 0.211 0.852 0.207
Cl5 0.269 0.261 0.009
Cl6 0.405 0.094 0.323
Cl7 0.440 0.608 0.434
```

No. 6
Entry from Alexandria: a relaxed AcHoThZr crystal (GGA-PBE).

Output
Formation energy in meV/atom: 204

```
data_AcHoThZr
_chemical_formula_sum 'Ac4 Ho4 Th4 Zr4'
_cell_length_a 7.950
_cell_length_b 7.950
_cell_length_c 7.950
_cell_angle_alpha 90.00
_cell_angle_beta 90.00
_cell_angle_gamma 90.00
_space_group_name_H-M_alt 'F -4 3 m'
_space_group_IT_number 216
_space_group_name_Hall 'F -4 2 3'
loop_
_atom_site_label
_atom_site_fract_x
_atom_site_fract_y
_atom_site_fract_z
Ac1 0.000 0.000 0.000
Ho1 0.250 0.250 0.750
Th1 0.000 0.000 0.500
Zr1 0.250 0.250 0.250
```